[1]
Computed, not measured: an optimized crystal structure of PrScPdRh at the GGA-PBE level of DFT.

- total magnetic moment (μB/f.u.) = 0.00
- V (Å³/f.u.) = 82
- VASP energy (eV per atom) = -6.6254

Cell and atoms, written as POSCAR:
```
PrScPdRh
1.0
-0.1956 0.9285 4.7919
-0.2697 -3.6868 3.1933
3.8269 -1.0483 2.8492
Pr Sc Rh Pd
1 1 1 1
direct
0.7500 0.7500 0.7500
0.2500 0.2500 0.2500
0.0000 0.0000 0.0000
0.5000 0.5000 0.5000
```

***

[2]
Computed, not measured: an optimized crystal structure of Ba3Li2In at the GGA-PBE level of DFT.

- total magnetic moment (μB/f.u.) = 0.00
- V (Å³/f.u.) = 244
- VASP energy (eV per atom) = -2.1918

Cell and atoms, written as POSCAR:
```
Ba3Li2In
1.0
-3.2487 2.6878 4.4437
-2.8510 -3.2437 -4.3446
1.2656 -12.3853 8.4165
Ba Li In
6 4 2
direct
0.3333 0.6667 0.4173
0.6667 0.3333 0.0906
0.0000 0.0000 0.7431
0.0000 0.0000 0.2569
0.3333 0.6667 0.9094
0.6667 0.3333 0.5827
0.0000 0.0000 0.5000
0.3333 0.6667 0.1722
0.6667 0.3333 0.8278
0.0000 0.0000 0.0000
0.3333 0.6667 0.6675
0.6667 0.3333 0.3325
```

***

[3]
Computed, not measured: an optimized crystal structure of K12Rb3Pb at the GGA-PBE level of DFT.

- total magnetic moment (μB/f.u.) = 0.00
- V (Å³/f.u.) = 1079
- VASP energy (eV per atom) = -1.2391

Cell and atoms, written as POSCAR:
```
K12Rb3Pb
1.0
6.5884 0.0000 0.0000
0.0000 6.5884 0.0000
0.0000 0.0000 24.8501
K Rb Pb
12 3 1
direct
0.5000 0.5000 0.0000
0.5000 0.5000 0.2276
0.5000 0.5000 0.5000
0.5000 0.5000 0.7724
0.5000 0.0000 0.0878
0.5000 0.0000 0.3614
0.5000 0.0000 0.6386
0.5000 0.0000 0.9122
0.0000 0.5000 0.0878
0.0000 0.5000 0.3614
0.0000 0.5000 0.6386
0.0000 0.5000 0.9122
0.0000 0.0000 0.2192
0.0000 0.0000 0.5000
0.0000 0.0000 0.7808
0.0000 0.0000 0.0000
```